## LiLu2 (PBE-GGA)

Data for a geometry-optimized LiLu2 structure.

```
LiLu2
1.0
-4.667 -3.121 2.967
-5.698 -0.553 -2.748
-1.938 -5.639 -2.184
Lu Li
4 2
direct
0.625 0.625 0.625 Lu
0.625 0.125 0.625 Lu
0.125 0.625 0.625 Lu
0.625 0.625 0.125 Lu
0.000 0.000 0.000 Li
0.250 0.250 0.250 Li
```

The value obtained for the energy above the most stable polymorph in this dataset is 0 meV per atom.